DFT (PBE) results for a relaxed structure of Nb2AlRu.

a = 2.9040 Å, b = 2.9040 Å, c = 27.4171 Å
α = 90.00°, β = 90.00°, γ = 120.00°
Last column: nearest neighbours and their distance in Å.
Element x y z (fractional)
Nb: 0.0000 0.0000 0.2469  3 Ru 2.77, 3 Al 2.90, 6 Nb 2.90
Nb: 0.0000 0.0000 0.7531  3 Ru 2.77, 3 Al 2.90, 6 Nb 2.90
Nb: 0.3333 0.6667 0.4198  3 Ru 2.77, 3 Al 2.90, 6 Nb 2.90
Nb: 0.3333 0.6667 0.9136  3 Ru 2.77, 3 Al 2.90, 6 Nb 2.90
Nb: 0.6667 0.3333 0.0864  3 Ru 2.77, 3 Al 2.90, 6 Nb 2.90
Nb: 0.6667 0.3333 0.5802  3 Ru 2.77, 3 Al 2.90, 6 Nb 2.90
Al: 0.0000 0.0000 0.0000  6 Nb 2.90, 6 Al 2.90
Al: 0.3333 0.6667 0.6667  6 Nb 2.90, 6 Al 2.90
Al: 0.6667 0.3333 0.3333  6 Nb 2.90, 6 Al 2.90
Ru: 0.0000 0.0000 0.5000  6 Nb 2.77, 6 Ru 2.90
Ru: 0.3333 0.6667 0.1667  6 Nb 2.77, 6 Ru 2.90
Ru: 0.6667 0.3333 0.8333  6 Nb 2.77, 6 Ru 2.90

D(E_F): 11.7 states/eV/cell
Formation enthalpy at 0 K: -0.06 eV/atom
Crystal system: trigonal
Total magnetization: 0.0 Bohr magnetons per cell
Space group: R-3m